Record 1
DFT (PBE) results for a relaxed structure of CaSm2Er.

Cell: 3.6372 3.6372 10.4285 Å, 90.00 90.00 90.00°
Space group P4/mmm (No. 123)
Asymmetric unit:
Ca 0.0000 0.0000 0.0000
Sm 0.5000 0.5000 0.2681
Er 0.0000 0.0000 0.5000

Properties
Energy above the lowest structure with this stoichiometry: 7 meV/atom
Total magnetic moment: 0.00 Bohr magnetons per cell
ΔH_f (0 K): 5.3 kJ/mol of atoms
Density of states at the Fermi level: 1.44 states/eV/atom

***

Record 2
DFT (PBE) results for a relaxed structure of EuEr2Sn.

Cell: 4.8995 4.8995 4.7553 Å, 90.00 90.00 90.00°
Space group P4/mmm (No. 123)
Asymmetric unit:
Eu 0.0000 0.0000 0.0000
Er 0.0000 0.5000 0.5000
Sn 0.5000 0.5000 0.0000

Properties
Energy above the lowest structure with this stoichiometry: 0 meV/atom
Total magnetic moment: 7.46 Bohr magnetons per cell
ΔH_f (0 K): -34.6 kJ/mol of atoms
Density of states at the Fermi level: 1.23 states/eV/atom

***

Record 3
DFT (PBE) results for a relaxed structure of Ce2IrPb.

Cell: 4.0663 14.9904 7.1511 Å, 90.00 90.00 90.00°
Space group Cmcm (No. 63)
Asymmetric unit:
Ce 0.0000 0.1442 0.0051
Ir 0.0000 0.3019 0.2500
Pb 0.0000 0.4979 0.7500

Properties
Energy above the lowest structure with this stoichiometry: 3 meV/atom
Total magnetic moment: 6.15 Bohr magnetons per cell
ΔH_f (0 K): -53.9 kJ/mol of atoms
Density of states at the Fermi level: 2.58 states/eV/atom

***

Record 4
DFT (PBE) results for a relaxed structure of SrIn3Ag5.

Cell: 4.9024 15.4530 10.9506 Å, 90.00 90.00 90.00°
Space group Cmcm (No. 63)
Asymmetric unit:
Sr 0.0000 0.1795 0.2500
In 0.0000 0.0798 0.7500
In 0.0000 0.4377 0.6151
Ag 0.0000 0.0000 0.0000
Ag 0.0000 0.2222 0.5567
Ag 0.0000 0.3659 0.1194

Properties
Total magnetic moment: 0.00 Bohr magnetons per cell
ΔH_f (0 K): -9.3 kJ/mol of atoms
Density of states at the Fermi level: 0.30 states/eV/atom

***

Record 5
DFT (PBE) results for a relaxed structure of Na6Sr5Ca.

Cell: 10.8690 19.0308 6.3387 Å, 90.00 125.41 90.00°
Space group C2/m (No. 12)
Asymmetric unit:
Na 0.2422 0.0000 0.2415
Na 0.2456 0.1637 0.7452
Sr 0.0000 0.1672 0.0000
Sr 0.0000 0.3332 0.5000
Sr 0.0000 0.5000 0.0000
Ca 0.0000 0.0000 0.5000

Properties
Total magnetic moment: 0.00 Bohr magnetons per cell
ΔH_f (0 K): 3.4 kJ/mol of atoms
Density of states at the Fermi level: 0.76 states/eV/atom

***

Record 6
DFT (PBE) results for a relaxed structure of CsLaCd10.

Cell: 4.8129 6.3127 10.7785 Å, 90.00 90.00 90.00°
Space group Pmmm (No. 47)
Asymmetric unit:
Cs 0.0000 0.0000 0.0000
La 0.0000 0.5000 0.5000
Cd 0.0000 0.0000 0.3381
Cd 0.0000 0.5000 0.1727
Cd 0.5000 0.0000 0.5000
Cd 0.5000 0.2703 0.2800
Cd 0.5000 0.5000 0.0000

Properties
Total magnetic moment: 0.00 Bohr magnetons per cell
ΔH_f (0 K): -11.2 kJ/mol of atoms
Density of states at the Fermi level: 0.51 states/eV/atom

***

Record 7
DFT (PBE) results for a relaxed structure of Sm2HoTm.

Cell: 8.0386 8.0386 8.0386 Å, 90.00 90.00 90.00°
Space group Fm-3m (No. 225)
Asymmetric unit:
Sm 0.2500 0.2500 0.2500
Ho 0.0000 0.0000 0.0000
Tm 0.0000 0.0000 0.5000

Properties
Energy above the lowest structure with this stoichiometry: 103 meV/atom
Total magnetic moment: 0.00 Bohr magnetons per cell
ΔH_f (0 K): 11.4 kJ/mol of atoms
Density of states at the Fermi level: 1.96 states/eV/atom

***

Record 8
DFT (PBE) results for a relaxed structure of Y2ErOsO8.

Cell: 7.0851 7.1655 6.7503 Å, 90.00 90.00 90.00°
Space group Cmmm (No. 65)
Asymmetric unit:
Y 0.0000 0.0000 0.2465
Er 0.0000 0.5000 0.0000
Os 0.0000 0.5000 0.5000
O 0.0000 0.3182 0.2886
O 0.1950 0.0000 0.0000
O 0.2350 0.0000 0.5000

Properties
Energy relative to the elements, uncorrected: -2.531 eV/atom
Total magnetic moment: 2.09 Bohr magnetons per cell
Density of states at the Fermi level: 0.19 states/eV/atom

***

Record 9
DFT (PBE) results for a relaxed structure of CaNdY.

Cell: 3.6813 3.6813 9.1795 Å, 90.00 90.00 120.00°
Space group P3m1 (No. 156)
Asymmetric unit:
Ca 0.0000 0.0000 0.0000
Nd 0.6667 0.3333 0.3521
Y 0.3333 0.6667 0.6591

Properties
Energy above the lowest structure with this stoichiometry: 16 meV/atom
Total magnetic moment: 0.00 Bohr magnetons per cell
ΔH_f (0 K): 4.6 kJ/mol of atoms
Density of states at the Fermi level: 1.35 states/eV/atom

***

Record 10
DFT (PBE) results for a relaxed structure of TlCrIr.

Cell: 2.9280 2.9280 11.8576 Å, 90.00 90.00 90.00°
Space group I4mm (No. 107)
Asymmetric unit:
Tl 0.0000 0.0000 0.0000
Cr 0.0000 0.0000 0.6839
Ir 0.0000 0.0000 0.3066

Properties
Energy above the lowest structure with this stoichiometry: 0 meV/atom
Total magnetic moment: 3.44 Bohr magnetons per cell
ΔH_f (0 K): 34.8 kJ/mol of atoms
Density of states at the Fermi level: 0.77 states/eV/atom

***

Record 11
DFT (PBE) results for a relaxed structure of HoZnGaRu.

Cell: 4.2947 4.2947 14.2211 Å, 90.00 90.00 120.00°
Space group R3m (No. 160, hexagonal axes)
Asymmetric unit:
Ho 0.0000 0.0000 0.0000
Zn 0.0000 0.0000 0.2135
Ga 0.0000 0.0000 0.7838
Ru 0.0000 0.0000 0.4586

Properties
Energy above the lowest structure with this stoichiometry: 0 meV/atom
Total magnetic moment: 0.00 Bohr magnetons per cell
ΔH_f (0 K): -32.3 kJ/mol of atoms
Density of states at the Fermi level: 0.73 states/eV/atom

***

Record 12
DFT (PBE) results for a relaxed structure of Sm3BN4.

Cell: 7.1896 6.3621 5.3384 Å, 90.00 90.00 90.00°
Space group Pmn2_1 (No. 31)
Asymmetric unit:
Sm 0.0000 0.1240 0.0000
Sm 0.2436 0.3315 0.4985
B 0.0000 0.8233 0.4681
N 0.0000 0.0829 0.5386
N 0.0000 0.8025 0.1742
N 0.1979 0.7049 0.5662

Properties
Energy relative to the elements, uncorrected: -0.926 eV/atom
Total magnetic moment: 0.00 Bohr magnetons per cell